Record 1
The following is a PBE calculation of a relaxed structure of Er3TlHg3, from Alexandria via LeMat-Bulk. Values from VASP.

Values from the calculation:
Total magnetization (μB/cell): 0.00
Formation energy (eV per atom): -0.306

```
&SYSTEM
  ibrav = 0, nat = 14, ntyp = 3
/
ATOMIC_SPECIES
Er 167.26 Er.upf
Tl 204.38 Tl.upf
Hg 200.59 Hg.upf
ATOMIC_POSITIONS crystal
Er 0.103 0.657 0.250
Er 0.343 0.447 0.250
Er 0.447 0.103 0.750
Er 0.553 0.897 0.250
Er 0.657 0.553 0.750
Er 0.897 0.343 0.750
Tl 0.333 0.667 0.750
Tl 0.667 0.333 0.250
Hg 0.035 0.799 0.750
Hg 0.201 0.236 0.750
Hg 0.236 0.035 0.250
Hg 0.764 0.965 0.750
Hg 0.799 0.764 0.250
Hg 0.965 0.201 0.250
CELL_PARAMETERS angstrom
9.141 0.000 0.000
-4.571 7.917 0.000
0.000 0.000 5.017
```


Record 2
The following is a PBE calculation of a relaxed structure of Er8Tl2Hg, from Alexandria via LeMat-Bulk. Values from VASP.

Values from the calculation:
Total magnetization (μB/cell): 0.00
Formation energy (eV per atom): -0.164

```
&SYSTEM
  ibrav = 0, nat = 11, ntyp = 3
/
ATOMIC_SPECIES
Er 167.26 Er.upf
Tl 204.38 Tl.upf
Hg 200.59 Hg.upf
ATOMIC_POSITIONS crystal
Er 0.028 0.028 0.246
Er 0.184 0.184 0.778
Er 0.339 0.339 0.557
Er 0.410 0.410 0.055
Er 0.590 0.590 0.945
Er 0.661 0.661 0.443
Er 0.816 0.816 0.222
Er 0.972 0.972 0.754
Tl 0.205 0.205 0.222
Tl 0.795 0.795 0.778
Hg 0.500 0.500 0.500
CELL_PARAMETERS angstrom
8.895 -2.573 0.000
8.895 2.573 0.000
-1.138 0.000 6.912
```


Record 3
The following is a PBE calculation of a relaxed structure of Er4TlHg3, from Alexandria via LeMat-Bulk. Values from VASP.

Values from the calculation:
Total magnetization (μB/cell): 0.00
Formation energy (eV per atom): -0.404
ΔE to the lowest computed polymorph (meV per atom): 33

```
&SYSTEM
  ibrav = 0, nat = 8, ntyp = 3
/
ATOMIC_SPECIES
Er 167.26 Er.upf
Tl 204.38 Tl.upf
Hg 200.59 Hg.upf
ATOMIC_POSITIONS crystal
Er 0.000 0.000 0.000
Er 0.000 0.500 0.284
Er 0.500 0.000 0.488
Er 0.500 0.500 0.791
Tl 0.000 0.000 0.726
Hg 0.000 0.500 0.550
Hg 0.500 0.000 0.227
Hg 0.500 0.500 0.054
CELL_PARAMETERS angstrom
3.786 0.000 0.000
0.000 4.805 0.000
0.000 0.000 11.572
```


Record 4
The following is a PBE calculation of a relaxed structure of Er2TlHg, from Alexandria via LeMat-Bulk. Values from VASP.

Values from the calculation:
Total magnetization (μB/cell): 0.00
Formation energy (eV per atom): -0.397

```
&SYSTEM
  ibrav = 0, nat = 4, ntyp = 3
/
ATOMIC_SPECIES
Er 167.26 Er.upf
Tl 204.38 Tl.upf
Hg 200.59 Hg.upf
ATOMIC_POSITIONS crystal
Er 0.000 0.000 0.241
Er 0.000 0.000 0.759
Tl 0.500 0.500 0.500
Hg 0.500 0.500 0.000
CELL_PARAMETERS angstrom
3.735 0.000 0.000
0.000 3.735 0.000
0.000 0.000 7.455
```


Record 5
The following is a PBE calculation of a relaxed structure of Er2TlHg, from Alexandria via LeMat-Bulk. Values from VASP.

Values from the calculation:
Total magnetization (μB/cell): 0.00
Formation energy (eV per atom): -0.308

```
&SYSTEM
  ibrav = 0, nat = 4, ntyp = 3
/
ATOMIC_SPECIES
Er 167.26 Er.upf
Tl 204.38 Tl.upf
Hg 200.59 Hg.upf
ATOMIC_POSITIONS crystal
Er 0.248 0.248 0.248
Er 0.752 0.752 0.752
Tl 0.000 0.000 0.000
Hg 0.500 0.500 0.500
CELL_PARAMETERS angstrom
1.859 1.073 9.327
-1.859 1.073 9.327
0.000 -2.147 9.327
```


Record 6
The following is a PBE calculation of a relaxed structure of Er5Tl4Hg, from Alexandria via LeMat-Bulk. Values from VASP.

Values from the calculation:
Total magnetization (μB/cell): 0.00
Formation energy (eV per atom): -0.345

```
&SYSTEM
  ibrav = 0, nat = 10, ntyp = 3
/
ATOMIC_SPECIES
Er 167.26 Er.upf
Tl 204.38 Tl.upf
Hg 200.59 Hg.upf
ATOMIC_POSITIONS crystal
Er 0.000 0.000 0.000
Er 0.000 0.000 0.203
Er 0.000 0.000 0.406
Er 0.000 0.000 0.594
Er 0.000 0.000 0.797
Tl 0.500 0.500 0.101
Tl 0.500 0.500 0.305
Tl 0.500 0.500 0.695
Tl 0.500 0.500 0.899
Hg 0.500 0.500 0.500
CELL_PARAMETERS angstrom
3.716 0.000 0.000
0.000 3.716 0.000
0.000 0.000 19.168
```


Record 7
The following is a PBE calculation of a relaxed structure of ErTlHg6, from Alexandria via LeMat-Bulk. Values from VASP.

Values from the calculation:
Total magnetization (μB/cell): 0.00
Formation energy (eV per atom): -0.139
ΔE to the lowest computed polymorph (meV per atom): 0

```
&SYSTEM
  ibrav = 0, nat = 8, ntyp = 3
/
ATOMIC_SPECIES
Er 167.26 Er.upf
Tl 204.38 Tl.upf
Hg 200.59 Hg.upf
ATOMIC_POSITIONS crystal
Er 0.000 0.000 0.000
Tl 0.000 0.000 0.500
Hg 0.000 0.500 0.239
Hg 0.000 0.500 0.761
Hg 0.500 0.000 0.239
Hg 0.500 0.000 0.761
Hg 0.500 0.500 0.000
Hg 0.500 0.500 0.500
CELL_PARAMETERS angstrom
4.668 0.000 0.000
0.000 4.668 0.000
0.000 0.000 9.328
```


Record 8
The following is a PBE calculation of a relaxed structure of Er2TlHg, from Alexandria via LeMat-Bulk. Values from VASP.

Values from the calculation:
Total magnetization (μB/cell): 0.00
Formation energy (eV per atom): -0.393

```
&SYSTEM
  ibrav = 0, nat = 8, ntyp = 3
/
ATOMIC_SPECIES
Er 167.26 Er.upf
Tl 204.38 Tl.upf
Hg 200.59 Hg.upf
ATOMIC_POSITIONS crystal
Er 0.250 0.000 0.119
Er 0.250 0.000 0.631
Er 0.750 0.000 0.369
Er 0.750 0.000 0.881
Tl 0.250 0.500 0.374
Tl 0.750 0.500 0.626
Hg 0.250 0.500 0.876
Hg 0.750 0.500 0.124
CELL_PARAMETERS angstrom
5.300 0.000 0.000
0.000 3.693 0.000
0.000 0.000 10.638
```


Record 9
The following is a PBE calculation of a relaxed structure of Er7TlHg4, from Alexandria via LeMat-Bulk. Values from VASP.

Values from the calculation:
Total magnetization (μB/cell): 0.92
Formation energy (eV per atom): -0.193

```
&SYSTEM
  ibrav = 0, nat = 12, ntyp = 3
/
ATOMIC_SPECIES
Er 167.26 Er.upf
Tl 204.38 Tl.upf
Hg 200.59 Hg.upf
ATOMIC_POSITIONS crystal
Er 0.000 0.000 0.000
Er 0.235 0.235 0.695
Er 0.275 0.275 0.100
Er 0.441 0.441 0.615
Er 0.559 0.559 0.385
Er 0.725 0.725 0.900
Er 0.765 0.765 0.305
Tl 0.500 0.500 0.000
Hg 0.042 0.042 0.709
Hg 0.197 0.197 0.351
Hg 0.803 0.803 0.649
Hg 0.958 0.958 0.291
CELL_PARAMETERS angstrom
7.397 -2.879 0.000
7.397 2.879 0.000
-5.415 0.000 7.758
```


Record 10
The following is a PBE calculation of a relaxed structure of Er5TlHg3, from Alexandria via LeMat-Bulk. Values from VASP.

Values from the calculation:
Total magnetization (μB/cell): 0.00
Formation energy (eV per atom): -0.373

```
&SYSTEM
  ibrav = 0, nat = 18, ntyp = 3
/
ATOMIC_SPECIES
Er 167.26 Er.upf
Tl 204.38 Tl.upf
Hg 200.59 Hg.upf
ATOMIC_POSITIONS crystal
Er 0.000 0.297 0.250
Er 0.000 0.703 0.750
Er 0.297 0.000 0.250
Er 0.297 0.297 0.750
Er 0.333 0.667 0.000
Er 0.333 0.667 0.500
Er 0.667 0.333 0.000
Er 0.667 0.333 0.500
Er 0.703 0.000 0.750
Er 0.703 0.703 0.250
Tl 0.000 0.000 0.000
Tl 0.000 0.000 0.500
Hg 0.000 0.374 0.750
Hg 0.000 0.626 0.250
Hg 0.374 0.000 0.750
Hg 0.374 0.374 0.250
Hg 0.626 0.000 0.250
Hg 0.626 0.626 0.750
CELL_PARAMETERS angstrom
9.062 0.000 0.000
-4.531 7.848 0.000
0.000 0.000 6.672
```


Record 11
The following is a PBE calculation of a relaxed structure of Er4TlHg3, from Alexandria via LeMat-Bulk. Values from VASP.

Values from the calculation:
Total magnetization (μB/cell): 0.00
Formation energy (eV per atom): -0.437
ΔE to the lowest computed polymorph (meV per atom): 0

```
&SYSTEM
  ibrav = 0, nat = 8, ntyp = 3
/
ATOMIC_SPECIES
Er 167.26 Er.upf
Tl 204.38 Tl.upf
Hg 200.59 Hg.upf
ATOMIC_POSITIONS crystal
Er 0.000 0.000 0.123
Er 0.000 0.000 0.368
Er 0.000 0.000 0.632
Er 0.000 0.000 0.877
Tl 0.500 0.500 0.500
Hg 0.500 0.500 0.000
Hg 0.500 0.500 0.245
Hg 0.500 0.500 0.755
CELL_PARAMETERS angstrom
3.700 0.000 0.000
0.000 3.700 0.000
0.000 0.000 14.923
```


Record 12
The following is a PBE calculation of a relaxed structure of Er5TlHg6, from Alexandria via LeMat-Bulk. Values from VASP.

Values from the calculation:
Total magnetization (μB/cell): 0.00
Formation energy (eV per atom): -0.411

```
&SYSTEM
  ibrav = 0, nat = 12, ntyp = 3
/
ATOMIC_SPECIES
Er 167.26 Er.upf
Tl 204.38 Tl.upf
Hg 200.59 Hg.upf
ATOMIC_POSITIONS crystal
Er 0.000 0.000 0.000
Er 0.174 0.174 0.674
Er 0.351 0.351 0.350
Er 0.649 0.649 0.650
Er 0.826 0.826 0.326
Tl 0.500 0.500 0.000
Hg 0.064 0.588 0.825
Hg 0.227 0.773 0.500
Hg 0.412 0.936 0.175
Hg 0.588 0.064 0.825
Hg 0.773 0.227 0.500
Hg 0.936 0.412 0.175
CELL_PARAMETERS angstrom
8.215 -3.763 0.000
8.215 3.763 0.000
-1.585 0.000 4.882
```